# NbGaO (PBE, relaxed)
# * calculated volume: 14.4 Å³/atom
# * final energy: -7.07 eV/atom
# * ρ: 6.87 g/cm3
data_NbGaO
_space_group_name_H-M_alt 'P -6 m 2'
_space_group_IT_number 187
_space_group_name_Hall 'P -6 2'
_cell_length_a 2.9866
_cell_length_b 2.9866
_cell_length_c 11.1817
_cell_angle_alpha 90.00
_cell_angle_beta 90.00
_cell_angle_gamma 120.00
loop_
_atom_site_label
_atom_site_type_symbol
_atom_site_fract_x
_atom_site_fract_y
_atom_site_fract_z
_atom_site_occupancy
Nb1 Nb 0.0000 0.0000 0.0000 1
Nb2 Nb 0.3333 0.6667 0.5000 1
Ga1 Ga 0.0000 0.0000 0.3044 1
O1 O 0.3333 0.6667 0.1142 1

---

# NbGa3O (PBE, relaxed)
# * calculated volume: 26.6 Å³/atom
# * final energy: -3.89 eV/atom
# * ρ: 3.97 g/cm3
data_NbGa3O
_space_group_name_H-M_alt 'P m -3 m'
_space_group_IT_number 221
_space_group_name_Hall '-P 4 2 3'
_cell_length_a 5.106
_cell_length_b 5.106
_cell_length_c 5.106
_cell_angle_alpha 90.00
_cell_angle_beta 90.00
_cell_angle_gamma 90.00
loop_
_atom_site_label
_atom_site_type_symbol
_atom_site_fract_x
_atom_site_fract_y
_atom_site_fract_z
_atom_site_occupancy
Nb1 Nb 0.000 0.000 0.000 1
Ga1 Ga 0.000 0.000 0.500 1
O1 O 0.500 0.500 0.500 1

---

# NbGa2O (PBE, relaxed)
# * calculated volume: 14.6 Å³/atom
# * final energy: -5.57 eV/atom
# * ρ: 7.08 g/cm3
data_NbGa2O
_space_group_name_H-M_alt 'I -4 2 d'
_space_group_IT_number 122
_space_group_name_Hall 'I -4 2bw'
_cell_length_a 6.653
_cell_length_b 6.653
_cell_length_c 5.265
_cell_angle_alpha 90.00
_cell_angle_beta 90.00
_cell_angle_gamma 90.00
loop_
_atom_site_label
_atom_site_type_symbol
_atom_site_fract_x
_atom_site_fract_y
_atom_site_fract_z
_atom_site_occupancy
Nb1 Nb 0.000 0.000 0.000 1
Ga1 Ga 0.185 0.250 0.625 1
O1 O 0.000 0.000 0.500 1

---

# NbGaO6 (PBE, relaxed)
# * calculated volume: 15.3 Å³/atom
# * final energy: -6.41 eV/atom
# * ρ: 3.50 g/cm3
data_NbGaO6
_space_group_name_H-M_alt 'F m -3 m'
_space_group_IT_number 225
_space_group_name_Hall '-F 4 2 3'
_cell_length_a 7.885
_cell_length_b 7.885
_cell_length_c 7.885
_cell_angle_alpha 90.00
_cell_angle_beta 90.00
_cell_angle_gamma 90.00
loop_
_atom_site_label
_atom_site_type_symbol
_atom_site_fract_x
_atom_site_fract_y
_atom_site_fract_z
_atom_site_occupancy
Nb1 Nb 0.000 0.000 0.000 1
Ga1 Ga 0.000 0.000 0.500 1
O1 O 0.000 0.000 0.252 1

---

# Nb6GaO (PBE, relaxed)
# * calculated volume: 17.3 Å³/atom
# * final energy: -8.72 eV/atom
# * ρ: 7.71 g/cm3
data_Nb6GaO
_space_group_name_H-M_alt 'P -1'
_space_group_IT_number 2
_cell_length_a 5.658
_cell_length_b 5.667
_cell_length_c 5.950
_cell_angle_alpha 118.22
_cell_angle_beta 90.08
_cell_angle_gamma 119.94
loop_
_space_group_symop_operation_xyz
'x,y,z'
'-x,-y,-z'
loop_
_atom_site_label
_atom_site_type_symbol
_atom_site_fract_x
_atom_site_fract_y
_atom_site_fract_z
_atom_site_occupancy
Nb1 Nb 0.011 0.448 0.237 1
Nb2 Nb 0.211 0.203 0.763 1
Nb3 Nb 0.440 0.227 0.235 1
Ga1 Ga 0.500 0.000 0.500 1
O1 O 0.000 0.000 0.000 1

---

# NbGa3O (PBE, relaxed)
# * calculated volume: 15.2 Å³/atom
# * final energy: -5.01 eV/atom
# * ρ: 6.97 g/cm3
data_NbGa3O
_space_group_name_H-M_alt 'P m -3 m'
_space_group_IT_number 221
_space_group_name_Hall '-P 4 2 3'
_cell_length_a 4.232
_cell_length_b 4.232
_cell_length_c 4.232
_cell_angle_alpha 90.00
_cell_angle_beta 90.00
_cell_angle_gamma 90.00
loop_
_atom_site_label
_atom_site_type_symbol
_atom_site_fract_x
_atom_site_fract_y
_atom_site_fract_z
_atom_site_occupancy
Nb1 Nb 0.000 0.000 0.000 1
Ga1 Ga 0.000 0.500 0.500 1
O1 O 0.500 0.500 0.500 1

---

# Nb2GaO (PBE, relaxed)
# * calculated volume: 14.5 Å³/atom
# * final energy: -7.17 eV/atom
# * ρ: 7.75 g/cm3
data_Nb2GaO
_space_group_name_H-M_alt 'F m -3 m'
_space_group_IT_number 225
_space_group_name_Hall '-F 4 2 3'
_cell_length_a 6.151
_cell_length_b 6.151
_cell_length_c 6.151
_cell_angle_alpha 90.00
_cell_angle_beta 90.00
_cell_angle_gamma 90.00
loop_
_atom_site_label
_atom_site_type_symbol
_atom_site_fract_x
_atom_site_fract_y
_atom_site_fract_z
_atom_site_occupancy
Nb1 Nb 0.250 0.250 0.250 1
Ga1 Ga 0.000 0.000 0.000 1
O1 O 0.000 0.000 0.500 1

---

# NbGaPO2 (PBE, relaxed)
# * calculated volume: 16.3 Å³/atom
# * final energy: -6.98 eV/atom
# * ρ: 4.60 g/cm3
data_NbGaPO2
_space_group_name_H-M_alt 'P 4/m m m'
_space_group_IT_number 123
_space_group_name_Hall '-P 4 2'
_cell_length_a 3.916
_cell_length_b 3.916
_cell_length_c 5.308
_cell_angle_alpha 90.00
_cell_angle_beta 90.00
_cell_angle_gamma 90.00
loop_
_atom_site_label
_atom_site_type_symbol
_atom_site_fract_x
_atom_site_fract_y
_atom_site_fract_z
_atom_site_occupancy
Nb1 Nb 0.000 0.000 0.000 1
Ga1 Ga 0.500 0.500 0.500 1
P1 P 0.000 0.000 0.500 1
O1 O 0.000 0.500 0.000 1

---

# NbGaPO2 (PBE, relaxed)
# * calculated volume: 13.9 Å³/atom
# * final energy: -6.10 eV/atom
# * ρ: 5.40 g/cm3
data_NbGaPO2
_space_group_name_H-M_alt 'P 4/m m m'
_space_group_IT_number 123
_space_group_name_Hall '-P 4 2'
_cell_length_a 3.710
_cell_length_b 3.710
_cell_length_c 5.038
_cell_angle_alpha 90.00
_cell_angle_beta 90.00
_cell_angle_gamma 90.00
loop_
_atom_site_label
_atom_site_type_symbol
_atom_site_fract_x
_atom_site_fract_y
_atom_site_fract_z
_atom_site_occupancy
Nb1 Nb 0.000 0.000 0.000 1
Ga1 Ga 0.500 0.500 0.500 1
P1 P 0.500 0.500 0.000 1
O1 O 0.000 0.500 0.500 1

---

# NbGaPb2O6 (PBE, relaxed)
# * calculated volume: 13.0 Å³/atom
# * final energy: -6.81 eV/atom
# * ρ: 8.59 g/cm3
data_NbGaPb2O6
_space_group_name_H-M_alt 'F m -3 m'
_space_group_IT_number 225
_space_group_name_Hall '-F 4 2 3'
_cell_length_a 8.044
_cell_length_b 8.044
_cell_length_c 8.044
_cell_angle_alpha 90.00
_cell_angle_beta 90.00
_cell_angle_gamma 90.00
loop_
_atom_site_label
_atom_site_type_symbol
_atom_site_fract_x
_atom_site_fract_y
_atom_site_fract_z
_atom_site_occupancy
Nb1 Nb 0.000 0.000 0.000 1
Ga1 Ga 0.000 0.000 0.500 1
Pb1 Pb 0.250 0.250 0.250 1
O1 O 0.000 0.000 0.251 1

---

# NbGaPb2O6 (PBE, relaxed)
# * calculated volume: 14.6 Å³/atom
# * final energy: -6.82 eV/atom
# * ρ: 7.66 g/cm3
data_NbGaPb2O6
_space_group_name_H-M_alt 'P 4 m m'
_space_group_IT_number 99
_cell_length_a 5.412
_cell_length_b 5.412
_cell_length_c 4.983
_cell_angle_alpha 90.00
_cell_angle_beta 90.00
_cell_angle_gamma 90.00
loop_
_space_group_symop_operation_xyz
'x,y,z'
'-y,x,z'
'-x,-y,z'
'y,-x,z'
'-x,y,z'
'y,x,z'
'x,-y,z'
'-y,-x,z'
loop_
_atom_site_label
_atom_site_type_symbol
_atom_site_fract_x
_atom_site_fract_y
_atom_site_fract_z
_atom_site_occupancy
Nb1 Nb 0.000 0.000 0.000 1
Ga1 Ga 0.500 0.500 0.989 1
Pb1 Pb 0.000 0.500 0.449 1
O1 O 0.000 0.000 0.630 1
O2 O 0.249 0.249 0.119 1
O3 O 0.500 0.500 0.623 1

---

# Nb2GaPtO (PBE, relaxed)
# * calculated volume: 20.6 Å³/atom
# * final energy: -5.50 eV/atom
# * ρ: 7.52 g/cm3
data_Nb2GaPtO
_space_group_name_H-M_alt 'P 4/m m m'
_space_group_IT_number 123
_space_group_name_Hall '-P 4 2'
_cell_length_a 4.816
_cell_length_b 4.816
_cell_length_c 4.444
_cell_angle_alpha 90.00
_cell_angle_beta 90.00
_cell_angle_gamma 90.00
loop_
_atom_site_label
_atom_site_type_symbol
_atom_site_fract_x
_atom_site_fract_y
_atom_site_fract_z
_atom_site_occupancy
Nb1 Nb 0.000 0.500 0.000 1
Ga1 Ga 0.000 0.000 0.000 1
Pt1 Pt 0.000 0.000 0.500 1
O1 O 0.500 0.500 0.500 1

---

Quick rundown of energy relative to the elements, uncorrected, same order as above: -1.053; 0.935; -0.301; -1.049; -0.173; -0.191; -0.142; -1.292; -0.414; -1.788; -1.792; 1.335 eV per atom